The following is a DFT calculation (PBE) of a geometry-optimized Mg2ZrHPt structure.

Lattice parameters (Å, degrees): 4.227 4.227 4.268 90.00 90.00 90.00
Space group P4/mmm (No. 123)
Unique sites:
Mg: 0.000 0.500 0.000 x2
Zr: 0.000 0.000 0.500 x1
H: 0.000 0.000 0.000 x1
Pt: 0.500 0.500 0.500 x1

Calculated values
Density of states at the Fermi level in states/eV per cell: 2.98
Raw total energy in eV/f.u.: -23.2
M_tot in μB per cell: 0.00